Entry 1:
First-principles (PBE) data for a relaxed structure of Rb2YReCl6, as listed in Alexandria.

Geometry as POSCAR:
```
Rb2YReCl6
1.0
-6.549 2.295 1.965
-2.868 -6.198 -2.320
-4.037 -3.994 4.448
Cl Rb Re Y
6 2 1 1
direct
0.240 0.240 0.000
0.240 0.240 0.519
0.240 0.760 0.000
0.760 0.760 0.481
0.760 0.760 0.000
0.760 0.240 0.000
0.250 0.750 0.500
0.750 0.250 0.500
0.000 0.000 0.000
0.500 0.500 0.000
```

Results
For the formation energy (no corrections), the calculation gives -1289.2 meV per atom. The density of states at the Fermi level is 0.00 states/eV/cell. The space-group type is Fm-3m, No. 225.

***

Entry 2:
First-principles (PBE) data for a relaxed structure of Rb2ZnReCl6, as listed in Alexandria.

Geometry as POSCAR:
```
Rb2ZnReCl6
1.0
7.634 0.000 0.000
0.000 7.634 0.000
3.817 3.817 4.547
Cl Rb Zn Re
6 2 1 1
direct
0.225 0.775 0.000
0.775 0.225 0.000
0.742 0.742 0.516
0.258 0.258 0.484
0.775 0.775 0.000
0.225 0.225 0.000
0.250 0.750 0.500
0.750 0.250 0.500
0.500 0.500 0.000
0.000 0.000 0.000
```

Results
For the formation energy (no corrections), the calculation gives -926.9 meV per atom. The density of states at the Fermi level is 9.40 states/eV/cell. The space-group type is I4/mmm, No. 139.

***

Entry 3:
First-principles (PBE) data for a relaxed structure of RbZr2ReCl, as listed in Alexandria.

Geometry as POSCAR:
```
RbZr2ReCl
1.0
-2.898 -3.139 2.629
3.469 -2.955 0.296
1.498 2.185 4.260
Re Rb Zr Cl
1 1 2 1
direct
0.000 0.500 0.000
0.500 0.500 0.500
0.000 0.000 0.500
0.500 0.000 0.000
0.000 0.000 0.000
```

Results
For the formation energy (no corrections), the calculation gives 1074.4 meV per atom. The density of states at the Fermi level is 5.06 states/eV/cell. The space-group type is P4/mmm, No. 123.

***

Entry 4:
First-principles (PBE) data for a relaxed structure of Rb3RhCl7, as listed in Alexandria.

Geometry as POSCAR:
```
Rb3RhCl7
1.0
6.958 0.000 0.000
0.000 9.896 0.000
0.000 0.000 9.896
Rh Rb Cl
2 6 14
direct
0.000 0.500 0.000
0.000 0.000 0.500
0.500 0.176 0.676
0.500 0.324 0.176
0.000 0.500 0.500
0.500 0.824 0.324
0.000 0.000 0.000
0.500 0.676 0.824
0.760 0.617 0.117
0.000 0.332 0.168
0.000 0.668 0.832
0.240 0.117 0.383
0.760 0.117 0.383
0.240 0.383 0.883
0.240 0.617 0.117
0.000 0.168 0.668
0.760 0.383 0.883
0.240 0.883 0.617
0.500 0.500 0.500
0.000 0.832 0.332
0.760 0.883 0.617
0.500 0.000 0.000
```

Results
For the formation energy (no corrections), the calculation gives -1295.3 meV per atom. The density of states at the Fermi level is 25.90 states/eV/cell. The space-group type is P4/mbm, No. 127.

***

Entry 5:
First-principles (PBE) data for a relaxed structure of RbRh2Cl8, as listed in Alexandria.

Geometry as POSCAR:
```
RbRh2Cl8
1.0
-3.299 -0.088 -5.142
-2.099 -5.554 1.442
-6.173 3.346 3.903
Cl Rh Rb
8 2 1
direct
0.752 0.752 0.181
0.752 0.752 0.819
0.248 0.248 0.819
0.752 0.248 0.819
0.248 0.752 0.181
0.248 0.752 0.819
0.248 0.248 0.181
0.752 0.248 0.181
0.000 0.500 0.000
0.500 0.000 0.000
0.500 0.500 0.500
```

Results
For the formation energy (no corrections), the calculation gives -292.4 meV per atom. The density of states at the Fermi level is 7.38 states/eV/cell. The space-group type is P4/mmm, No. 123.

***

Entry 6:
First-principles (PBE) data for a relaxed structure of Rb2RhCl5, as listed in Alexandria.

Geometry as POSCAR:
```
Rb2RhCl5
1.0
-5.250 -1.870 -4.226
-0.113 -2.764 6.424
0.121 6.720 1.937
Cl Rb Rh
5 2 1
direct
0.553 0.770 0.770
0.000 0.217 0.770
0.000 0.770 0.217
0.447 0.217 0.217
0.000 0.252 0.252
0.500 0.244 0.744
0.500 0.744 0.244
0.000 0.009 0.009
```

Results
For the formation energy (no corrections), the calculation gives -1243.2 meV per atom. Its energy above the most stable polymorph in this dataset is 29 meV per atom. The space-group type is I4mm, No. 107.

***

formation energy (no corrections) of number 1 (Rb2YReCl6)? -1289.2 meV per atom